Record 1
Material: SnSb2PdI
Method: DFT, PBE
State: relaxed

Calculated values
As for the energy relative to the elements, uncorrected: 0.304 eV/atom. Its density of states at the Fermi level is 6.291 states/eV/f.u. The calculation puts the spin magnetization at 0.084 μB/atom. For the excess energy over the best structure of this formula in the dataset, the calculation gives 0.000 eV/atom. Its space group is No. 123. For the volume, the calculation gives 153.5 Å³ per cell.

Cell lengths 5.2406, 5.2406, 5.5875 Å; angles 90.00, 90.00, 90.00 degrees
With the nearest neighbours (Å) after each atom.
Positions (direct):
Sn (0.0000, 0.0000, 0.0000)  4 I 3.71, 8 Sb 3.83
Sb (0.0000, 0.5000, 0.5000)  2 Pd 2.62
Sb (0.5000, 0.0000, 0.5000)  2 Pd 2.62
Pd (0.5000, 0.5000, 0.5000)  4 Sb 2.62, 2 I 2.79
I (0.5000, 0.5000, 0.0000)  2 Pd 2.79

=====

Record 2
Material: BaSeClO4
Method: DFT, PBE
State: relaxed

Calculated values
As for the energy relative to the elements, uncorrected: -1.379 eV/atom. Its density of states at the Fermi level is 0.000 states/eV/f.u. The calculation puts the spin magnetization at 0.000 μB/atom. Its space group is No. 12. For the volume, the calculation gives 283.9 Å³ per cell.

Cell lengths 7.2389, 7.2389, 7.1016 Å; angles 104.53, 104.53, 52.62 degrees
With the nearest neighbours (Å) after each atom.
Positions (direct):
Ba (0.1737, 0.1737, 0.2508)  7 O 2.76-3.01
Ba (0.8263, 0.8263, 0.7492)  7 O 2.76-3.01
Se (0.1567, 0.1567, 0.7423)  4 O 1.67-1.68
Se (0.8433, 0.8433, 0.2577)  4 O 1.67-1.68
Cl (0.4910, 0.4910, 0.8559)  1 Cl 1.99
Cl (0.5090, 0.5090, 0.1441)  1 Cl 1.99
O (0.0468, 0.6294, 0.3987)  1 Se 1.68
O (0.0478, 0.0478, 0.8250)  1 Se 1.68
O (0.2628, 0.2628, 0.9402)  1 Se 1.67
O (0.3706, 0.9532, 0.6013)  1 Se 1.68
O (0.6294, 0.0468, 0.3987)  1 Se 1.68
O (0.7372, 0.7372, 0.0598)  1 Se 1.67
O (0.9522, 0.9522, 0.1750)  1 Se 1.68
O (0.9532, 0.3706, 0.6013)  1 Se 1.68

=====

Record 3
Material: V2W5
Method: DFT, PBE
State: relaxed

Calculated values
Its density of states at the Fermi level is 3.708 states/eV/f.u. The calculation puts the spin magnetization at 0.000 μB/atom. For the excess energy over the best structure of this formula in the dataset, the calculation gives 0.000 eV/atom. Its space group is No. 12. For the volume, the calculation gives 107.6 Å³ per cell.

Cell lengths 5.1886, 5.1886, 7.0003 Å; angles 97.63, 97.63, 35.19 degrees
With the nearest neighbours (Å) after each atom.
Positions (direct):
V (0.0707, 0.0707, 0.2137)  8 W 2.69-2.71
V (0.9293, 0.9293, 0.7863)  8 W 2.69-2.71
W (0.2150, 0.2150, 0.6444)  2 V 2.71, 6 W 2.72
W (0.3589, 0.3589, 0.0692)  4 V 2.69-2.70, 4 W 2.72-2.73
W (0.5000, 0.5000, 0.5000)  4 V 2.71, 4 W 2.72
W (0.6411, 0.6411, 0.9308)  4 V 2.69-2.70, 4 W 2.72-2.73
W (0.7850, 0.7850, 0.3556)  2 V 2.71, 6 W 2.72

=====

> Which of these has the lowest volume?

V2W5